Here is crystalline Pr2ScZn3Ga4 at its relaxed geometry from the Alexandria database. Energies are from PBE-GGA.

Summary:
Space group: P-4m2 (115)
Electronic total energy in eV per atom: -3.67
V in Å³ per atom: 20.63
Density in g/cm3: 6.45
DFT formation energy in eV per formula unit: -4.83

a b c (Å): 4.314 4.314 11.087
angles (deg): 90.00 90.00 90.00
Element x y z (fractional)
Ga 0.500 0.500 0.000
Ga 0.000 0.500 0.351
Ga 0.000 0.000 0.000
Ga 0.500 0.000 0.649
Zn 0.500 0.000 0.871
Zn 0.000 0.500 0.129
Zn 0.000 0.000 0.500
Pr 0.500 0.000 0.236
Pr 0.000 0.500 0.764
Sc 0.500 0.500 0.500